Sr4Ga3Ir | PBE | relaxed

## Properties
Its space group is Pmm2 (25). For the total energy, the calculation gives -3.4918 eV/atom. For the formation energy, the calculation gives -0.41 eV per atom.

```
Sr4Ga3Ir
1.0
4.417 0.000 0.000
0.000 4.709 0.000
0.000 0.000 11.606
Sr Ga Ir
4 3 1
direct
0.000 0.000 0.000
0.000 0.500 0.475
0.500 0.000 0.704
0.500 0.500 0.202
0.000 0.500 0.787
0.500 0.000 0.393
0.500 0.500 0.907
0.000 0.000 0.294
```

BaPC3 | PBE | relaxed

## Properties
Its space group is Pm-3m (221). For the total energy, the calculation gives -3.0710 eV/atom. For the formation energy, the calculation gives 3.93 eV per atom.

```
BaPC3
1.0
4.972 0.000 0.000
0.000 4.972 0.000
0.000 0.000 4.972
Ba P C
1 1 3
direct
0.000 0.000 0.000
0.500 0.500 0.500
0.000 0.000 0.500
0.000 0.500 0.000
0.500 0.000 0.000
```

In3Hg4Pb3 | PBE | relaxed

## Properties
Its space group is Pm (6). For the total energy, the calculation gives -2.0313 eV/atom. For the formation energy, the calculation gives 0.02 eV per atom.

```
In3Hg4Pb3
1.0
8.381 0.000 0.000
0.000 3.435 0.000
-1.961 0.000 9.744
In Hg Pb
3 4 3
direct
0.000 0.000 0.000
0.137 0.000 0.565
0.613 0.000 0.781
0.099 0.500 0.277
0.447 0.500 0.517
0.701 0.500 0.065
0.907 0.500 0.720
0.303 0.500 0.883
0.416 0.000 0.196
0.771 0.500 0.393
```

ZrAg2Sb | PBE | relaxed

## Properties
Its space group is Pm (6). For the total energy, the calculation gives -4.7237 eV/atom. The uncorrected formation energy comes out at -0.13 eV/atom.

```
ZrAg2Sb
1.0
3.151 0.000 0.000
0.000 4.269 0.000
-1.532 0.000 6.283
Zr Ag Sb
1 2 1
direct
0.000 0.000 0.000
0.235 0.000 0.469
0.636 0.500 0.272
0.392 0.500 0.779
```

NbTl3N | PBE | relaxed

## Properties
Its space group is Pm-3m (221). For the total energy, the calculation gives -3.2755 eV/atom. The uncorrected formation energy comes out at 1.82 eV/atom.

```
NbTl3N
1.0
5.522 0.000 0.000
0.000 5.522 0.000
0.000 0.000 5.522
Nb Tl N
1 3 1
direct
0.000 0.000 0.000
0.000 0.000 0.500
0.000 0.500 0.000
0.500 0.000 0.000
0.500 0.500 0.500
```

Cr2CuMo | PBE | relaxed

## Properties
Its space group is Cm (8). For the total energy, the calculation gives -8.1748 eV/atom. For the formation energy, the calculation gives 0.37 eV per atom.

```
Cr2CuMo
1.0
4.359 -1.244 0.000
4.359 1.244 0.000
-0.470 0.000 4.808
Cr Cu Mo
2 1 1
direct
0.000 0.000 0.000
0.247 0.247 0.758
0.504 0.504 0.519
0.756 0.756 0.265
```